1.
Rb2RhBr4 | PBE-GGA | optimized geometry

Output
Calculated volume in A^3/atom: 33.33
Uncorrected formation energy in eV/atom: -1.076

a = 5.2743 Å, b = 5.2743 Å, c = 16.7736 Å
α = 90.00°, β = 90.00°, γ = 90.00°
With the nearest neighbours (Å) after each atom.
Space group I4/mmm (No. 139)
Symmetry-distinct sites (fractional):
Rb  0.0000  0.0000  0.1388  9 Br 3.51-3.74
Rh  0.0000  0.0000  0.5000  6 Br 2.55-2.64
Br  0.0000  0.0000  0.3481  1 Rh 2.55
Br  0.0000  0.5000  0.0000  2 Rh 2.64

---

2.
RbRhSe2Br | PBE-GGA | optimized geometry

Output
E above lowest polymorph in eV/atom: 0.000
Calculated volume in A^3/atom: 27.42
Uncorrected formation energy in eV/atom: -0.409

a = 4.9216 Å, b = 4.9216 Å, c = 5.6602 Å
α = 90.00°, β = 90.00°, γ = 90.00°
With the nearest neighbours (Å) after each atom.
Space group P4/mmm (No. 123)
Symmetry-distinct sites (fractional):
Rb  0.0000  0.0000  0.0000  4 Br 3.48, 8 Se 3.75
Rh  0.5000  0.5000  0.5000  4 Se 2.46
Se  0.0000  0.5000  0.5000  2 Rh 2.46
Br  0.5000  0.5000  0.0000  2 Rh 2.83

---

3.
Rb2RhSeBr6 | PBE-GGA | optimized geometry

Output
Calculated volume in A^3/atom: 31.33
Uncorrected formation energy in eV/atom: -0.748

a = 7.7078 Å, b = 7.7078 Å, c = 10.5466 Å
α = 90.00°, β = 90.00°, γ = 90.00°
With the nearest neighbours (Å) after each atom.
Space group I4/mmm (No. 139)
Symmetry-distinct sites (fractional):
Rb  0.0000  0.5000  0.2500  12 Br 3.80-3.85
Rh  0.0000  0.0000  0.0000  6 Br 2.56-2.57
Se  0.0000  0.0000  0.5000  6 Br 2.70-2.89
Br  0.0000  0.0000  0.2436  1 Rh 2.57, 1 Se 2.70
Br  0.2351  0.2351  0.0000  1 Rh 2.56

---

Repeat the second record exactly.
RbRhSe2Br | PBE-GGA | optimized geometry

Output
E above lowest polymorph in eV/atom: 0.000
Calculated volume in A^3/atom: 27.42
Uncorrected formation energy in eV/atom: -0.409

a = 4.9216 Å, b = 4.9216 Å, c = 5.6602 Å
α = 90.00°, β = 90.00°, γ = 90.00°
With the nearest neighbours (Å) after each atom.
Space group P4/mmm (No. 123)
Symmetry-distinct sites (fractional):
Rb  0.0000  0.0000  0.0000  4 Br 3.48, 8 Se 3.75
Rh  0.5000  0.5000  0.5000  4 Se 2.46
Se  0.0000  0.5000  0.5000  2 Rh 2.46
Br  0.5000  0.5000  0.0000  2 Rh 2.83